No. 1
Compound: Pr3AgSe4
Source: Alexandria
Functional: GGA-PBE
Structure: relaxed

uncorrected formation energy: -1.491 eV/atom
SG: R-3m, No. 166

Cell and atoms, written as extended XYZ:
```
8
Lattice="4.299 0.000 0.000 2.149 3.723 0.000 2.149 1.241 13.397" Properties=species:S:1:pos:R:3 pbc="T T T"
Se 4.299 2.482 1.572
Pr 2.149 1.241 3.236
Pr 6.448 3.723 10.160
Pr 4.299 2.482 6.698
Se 4.299 2.482 11.824
Se 2.149 1.241 8.442
Ag 0.000 0.000 0.000
Se 6.448 3.723 4.955
```

***

No. 2
Compound: Mg3CdPt12
Source: Alexandria
Functional: GGA-PBE
Structure: relaxed

SG: P4/mmm, No. 123
ΔE_f: -48.3 kJ/mol of atoms

Cell and atoms, written as extended XYZ:
```
16
Lattice="3.978 0.000 0.000 0.000 3.978 0.000 0.000 0.000 15.959" Properties=species:S:1:pos:R:3 pbc="T T T"
Pt 1.989 0.000 13.883
Pt 0.000 1.989 13.883
Mg 0.000 0.000 7.979
Cd 0.000 0.000 0.000
Mg 0.000 0.000 4.033
Pt 0.000 1.989 6.009
Pt 1.989 0.000 2.075
Pt 1.989 0.000 6.009
Mg 0.000 0.000 11.926
Pt 1.989 1.989 7.979
Pt 1.989 1.989 0.000
Pt 1.989 1.989 11.918
Pt 1.989 1.989 4.041
Pt 0.000 1.989 2.075
Pt 0.000 1.989 9.949
Pt 1.989 0.000 9.949
```

***

No. 3
Compound: AcTbSi4
Source: Alexandria
Functional: GGA-PBE
Structure: relaxed

E above lowest polymorph: 292 meV per atom
uncorrected formation energy: -0.214 eV/atom
SG: F-43m, No. 216

Cell and atoms, written as extended XYZ:
```
6
Lattice="5.580 0.000 0.000 2.790 4.832 0.000 2.790 1.611 4.556" Properties=species:S:1:pos:R:3 pbc="T T T"
Si 5.580 1.744 2.800
Ac 0.000 0.000 0.000
Si 4.301 3.960 2.800
Tb 2.790 1.611 1.139
Si 5.580 3.222 0.711
Si 6.859 3.960 2.800
```

***

No. 4
Compound: ZnPdBr3
Source: Alexandria
Functional: GGA-PBE
Structure: relaxed

E above lowest polymorph: 91 meV per atom
uncorrected formation energy: 0.077 eV/atom
SG: Pm-3m, No. 221

Cell and atoms, written as extended XYZ:
```
5
Lattice="-3.386 3.863 0.010 -0.902 -0.778 -4.997 -3.756 -3.295 1.191" Properties=species:S:1:pos:R:3 pbc="T T T"
Br -1.878 -1.648 0.595
Br -1.693 1.932 0.005
Br -0.451 -0.389 -2.498
Zn 0.000 0.000 0.000
Pd -4.022 -0.105 -1.898
```

***

No. 5
Compound: CuNi2PtN
Source: Alexandria
Functional: GGA-PBE
Structure: relaxed

E above lowest polymorph: 0 meV per atom
uncorrected formation energy: 0.054 eV/atom
SG: P4/mmm, No. 123

Cell and atoms, written as extended XYZ:
```
5
Lattice="-3.010 0.628 -2.185 -2.045 -2.330 2.147 -1.034 3.021 2.293" Properties=species:S:1:pos:R:3 pbc="T T T"
Ni -1.023 -1.165 1.074
Cu -0.517 1.510 1.147
Pt -3.045 0.659 1.128
Ni -1.505 0.314 -1.092
N 0.000 0.000 0.000
```

***

No. 6
Compound: LiCl3
Source: Alexandria
Functional: GGA-PBE
Structure: relaxed

E above lowest polymorph: 223 meV per atom
uncorrected formation energy: -0.643 eV/atom
SG: Pmm2, No. 25

Cell and atoms, written as extended XYZ:
```
4
Lattice="3.615 0.000 0.000 0.000 8.547 0.000 0.000 0.000 3.623" Properties=species:S:1:pos:R:3 pbc="T T T"
Li 0.000 4.273 1.331
Cl 1.808 0.000 1.685
Cl 0.000 0.000 3.497
Cl 1.808 4.273 3.150
```

***

No. 7
Compound: Mg3Ga3Au2
Source: Alexandria
Functional: GGA-PBE
Structure: relaxed

E above lowest polymorph: 0 meV per atom
SG: Cmcm, No. 63
ΔE_f: -33.4 kJ/mol of atoms

Cell and atoms, written as extended XYZ:
```
16
Lattice="4.279 0.000 0.000 -2.140 4.948 0.000 0.000 0.000 14.573" Properties=species:S:1:pos:R:3 pbc="T T T"
Mg 2.140 4.238 5.577
Mg 0.000 0.710 8.995
Au 0.000 2.130 1.660
Ga 0.000 3.767 7.803
Mg 2.140 4.238 1.709
Ga 0.000 3.767 14.056
Ga 0.000 3.821 3.643
Mg 2.140 1.604 3.643
Ga 2.140 1.127 10.929
Au 2.140 2.818 12.913
Mg 0.000 3.344 10.929
Ga 2.140 1.181 0.517
Au 2.140 2.818 8.946
Mg 0.000 0.710 12.863
Au 0.000 2.130 5.626
Ga 2.140 1.181 6.770
```

***

No. 8
Compound: Dy6SbP3S2
Source: Alexandria
Functional: GGA-PBE
Structure: relaxed

uncorrected formation energy: -1.678 eV/atom
SG: C2/m, No. 12

Cell and atoms, written as extended XYZ:
```
12
Lattice="4.038 0.000 0.000 0.000 8.116 0.266 -2.019 -2.366 8.505" Properties=species:S:1:pos:R:3 pbc="T T T"
Dy 2.019 -0.186 8.565
Dy 0.000 1.752 5.805
P 0.000 5.957 3.043
S 2.019 3.810 5.798
Dy 2.019 -0.166 2.980
Dy 0.000 5.916 5.792
Dy 2.019 3.998 2.967
Dy 0.000 5.936 0.207
P 2.019 4.058 0.133
P 2.019 -0.207 5.729
S 0.000 1.940 2.974
Sb 2.019 0.000 0.000
```

***

No. 9
Compound: Nb2BPdC
Source: Alexandria
Functional: GGA-PBE
Structure: relaxed

SG: P4/mmm, No. 123
ΔE_f: 92.0 kJ/mol of atoms

Cell and atoms, written as extended XYZ:
```
5
Lattice="4.330 0.000 0.000 0.000 3.900 0.000 0.000 0.000 4.330" Properties=species:S:1:pos:R:3 pbc="T T T"
B 0.000 0.000 0.000
Nb 0.000 0.000 2.165
C 2.165 1.950 2.165
Nb 2.165 0.000 0.000
Pd 0.000 1.950 0.000
```

***

No. 10
Compound: LiTeHN2
Source: Alexandria
Functional: GGA-PBE
Structure: relaxed

E above lowest polymorph: 0 meV per atom
SG: P4/mmm, No. 123

Cell and atoms, written as extended XYZ:
```
5
Lattice="-1.746 -3.010 -1.944 1.756 -2.604 2.454 -2.820 0.197 2.228" Properties=species:S:1:pos:R:3 pbc="T T T"
Li -1.405 -2.708 1.369
N 0.878 -1.302 1.227
H 0.000 0.000 0.000
N -0.873 -1.505 -0.972
Te -1.410 0.099 1.114
```

***

No. 11
Compound: Sm4Tl2CdHg
Source: Alexandria
Functional: GGA-PBE
Structure: relaxed

SG: R-3m, No. 166
ΔE_f: -38.1 kJ/mol of atoms

Cell and atoms, written as extended XYZ:
```
8
Lattice="-1.412 -5.207 -0.606 -1.168 -3.021 4.357 -9.360 -0.364 0.621" Properties=species:S:1:pos:R:3 pbc="T T T"
Hg -5.970 -4.296 2.186
Sm -2.825 -5.176 2.419
Cd 0.000 0.000 0.000
Tl -2.928 -2.164 1.097
Tl -9.012 -6.428 3.275
Sm -6.133 -1.267 0.860
Sm -5.807 -7.325 3.512
Sm -9.115 -3.416 1.953
```

***

No. 12
Compound: La6YIn2
Source: Alexandria
Functional: GGA-PBE
Structure: relaxed

SG: C2/m, No. 12
ΔE_f: -21.0 kJ/mol of atoms

Cell and atoms, written as extended XYZ:
```
9
Lattice="4.589 0.000 -1.372 -0.832 7.749 -2.782 -0.028 0.058 8.265" Properties=species:S:1:pos:R:3 pbc="T T T"
In -0.413 6.296 -1.381
La 1.128 1.255 3.774
La 3.378 3.992 2.936
La 2.600 6.552 0.338
La 0.351 3.815 1.175
Y 1.878 3.874 -2.077
La 2.614 1.147 0.384
La 1.115 6.660 3.727
In 4.142 1.511 5.492
```

***

Number 1: N(E_F) 3.179 states/eV/cell, M_tot 0.00 μB per formula unit. Number 2: N(E_F) 14.218 states/eV/cell, M_tot 0.00 μB per formula unit. Number 3: N(E_F) 5.261 states/eV/cell, M_tot 0.00 μB per formula unit. Number 4: N(E_F) 11.951 states/eV/cell, M_tot 1.00 μB per formula unit. Number 5: N(E_F) 5.844 states/eV/cell, M_tot 0.00 μB per formula unit. Number 6: N(E_F) 1.075 states/eV/cell, M_tot 0.00 μB per formula unit. Number 7: N(E_F) 3.892 states/eV/cell, M_tot 0.00 μB per formula unit. Number 8: N(E_F) 3.801 states/eV/cell, M_tot 0.00 μB per formula unit. Number 9: N(E_F) 3.635 states/eV/cell, M_tot 0.00 μB per formula unit. Number 10: N(E_F) 2.165 states/eV/cell, M_tot 0.82 μB per formula unit. Number 11: N(E_F) 8.139 states/eV/cell, M_tot 1.45 μB per formula unit. Number 12: N(E_F) 10.116 states/eV/cell, M_tot 0.00 μB per formula unit.